1.
DFT (PBE-GGA) results for an optimized crystal structure of Tl2TeC.

Output
formation energy from raw total energies: 0.757 eV per atom
E above lowest polymorph: 0.000 eV per atom

```
data_Tl2TeC
_symmetry_space_group_name_H-M 'I -4 2 d'
_symmetry_Int_Tables_number 122
_symmetry_space_group_name_Hall 'I -4 2bw'
_cell_length_a 6.1847
_cell_length_b 6.1847
_cell_length_c 11.4198
_cell_angle_alpha 90.00
_cell_angle_beta 90.00
_cell_angle_gamma 90.00
loop_
_atom_site_label
_atom_site_type_symbol
_atom_site_fract_x
_atom_site_fract_y
_atom_site_fract_z
_atom_site_occupancy
Tl1 Tl 0.1421 0.2500 0.1250 1
Te1 Te 0.0000 0.0000 0.5000 1
C1 C 0.0000 0.0000 0.0000 1
```

2.
DFT (PBE-GGA) results for an optimized crystal structure of Ho3Np2Se6.

Output
formation energy from raw total energies: -1.448 eV per atom

```
data_Ho3Np2Se6
_symmetry_space_group_name_H-M 'R -3 m'
_symmetry_Int_Tables_number 166
_symmetry_space_group_name_Hall '-R 3 2"'
_cell_length_a 4.0988
_cell_length_b 4.0988
_cell_length_c 59.7964
_cell_angle_alpha 90.00
_cell_angle_beta 90.00
_cell_angle_gamma 120.00
loop_
_atom_site_label
_atom_site_type_symbol
_atom_site_fract_x
_atom_site_fract_y
_atom_site_fract_z
_atom_site_occupancy
Ho1 Ho 0.0000 0.0000 0.0000 1
Ho2 Ho 0.0000 0.0000 0.2782 1
Np1 Np 0.0000 0.0000 0.4445 1
Se1 Se 0.0000 0.0000 0.0820 1
Se2 Se 0.0000 0.0000 0.1971 1
Se3 Se 0.0000 0.0000 0.3607 1
```